First-principles (PBE-GGA) data for CaBiPt2 after structural relaxation, as listed in Alexandria.

N(E_F)   3.3 states/eV per cell
Magnetic moment   0.00 μB/cell
DFT formation energy   -0.15 eV per atom

Unit cell a=5.528 b=5.528 c=15.514 alpha=90.00 beta=90.00 gamma=90.00
Space group I-42d (No. 122)
Unique sites:
Ca  0.000  0.000  0.000 (multiplicity 4)
Bi  0.000  0.000  0.500 (multiplicity 4)
Pt  0.215  0.250  0.625 (multiplicity 8)

=====

First-principles (PBE-GGA) data for Ca2BiPt after structural relaxation, as listed in Alexandria.

N(E_F)   1.2 states/eV per cell
Magnetic moment   0.00 μB/cell
DFT formation energy   -0.83 eV per atom

Unit cell a=3.550 b=3.550 c=8.288 alpha=90.00 beta=90.00 gamma=90.00
Space group P4/mmm (No. 123)
Unique sites:
Ca  0.000  0.000  0.204 (multiplicity 2)
Bi  0.500  0.500  0.500 (multiplicity 1)
Pt  0.500  0.500  0.000 (multiplicity 1)

=====

First-principles (PBE-GGA) data for Ca2BiPt after structural relaxation, as listed in Alexandria.

N(E_F)   7.9 states/eV per cell
Magnetic moment   0.00 μB/cell
DFT formation energy   -0.57 eV per atom

Unit cell a=8.263 b=8.263 c=6.618 alpha=90.00 beta=90.00 gamma=90.00
Space group I-42d (No. 122)
Unique sites:
Ca  0.204  0.750  0.125 (multiplicity 8)
Bi  0.000  0.000  0.500 (multiplicity 4)
Pt  0.000  0.000  0.000 (multiplicity 4)

=====

First-principles (PBE-GGA) data for Ca4BiPt after structural relaxation, as listed in Alexandria.

N(E_F)   14.8 states/eV per cell
Magnetic moment   0.00 μB/cell
DFT formation energy   -0.70 eV per atom

Unit cell a=9.620 b=13.934 c=6.626 alpha=90.00 beta=119.57 gamma=90.00
Space group C2/c (No. 15)
Unique sites:
Ca  0.113  0.168  0.080 (multiplicity 8)
Ca  0.220  0.437  0.304 (multiplicity 8)
Bi  0.000  0.365  0.750 (multiplicity 4)
Pt  0.000  0.001  0.250 (multiplicity 4)

=====

First-principles (PBE-GGA) data for Ca2BiPt after structural relaxation, as listed in Alexandria.

N(E_F)   6.3 states/eV per cell
Magnetic moment   0.00 μB/cell
DFT formation energy   -0.68 eV per atom

Unit cell a=4.0408 b=4.0408 c=24.7007 alpha=90.00 beta=90.00 gamma=120.00
Space group R-3m (No. 166, hexagonal axes)
Unique sites:
Ca  0.0000  0.0000  0.2354 (multiplicity 6)
Bi  0.0000  0.0000  0.0000 (multiplicity 3)
Pt  0.0000  0.0000  0.5000 (multiplicity 3)

=====

First-principles (PBE-GGA) data for Ca2BiPt after structural relaxation, as listed in Alexandria.

N(E_F)   2.4 states/eV per cell
Magnetic moment   0.00 μB/cell
DFT formation energy   -0.70 eV per atom

Unit cell a=4.875 b=4.875 c=4.237 alpha=90.00 beta=90.00 gamma=90.00
Space group P4/mmm (No. 123)
Unique sites:
Ca  0.000  0.500  0.000 (multiplicity 2)
Bi  0.000  0.000  0.500 (multiplicity 1)
Pt  0.500  0.500  0.500 (multiplicity 1)

=====

First-principles (PBE-GGA) data for CaBiPt2 after structural relaxation, as listed in Alexandria.

N(E_F)   1.7 states/eV per cell
Magnetic moment   0.00 μB/cell
DFT formation energy   -0.55 eV per atom

Unit cell a=4.721 b=4.721 c=3.776 alpha=90.00 beta=90.00 gamma=90.00
Space group P4/mmm (No. 123)
Unique sites:
Ca  0.000  0.000  0.000 (multiplicity 1)
Bi  0.500  0.500  0.000 (multiplicity 1)
Pt  0.000  0.500  0.500 (multiplicity 2)

=====

First-principles (PBE-GGA) data for Ca2Bi2Pt after structural relaxation, as listed in Alexandria.

N(E_F)   3.7 states/eV per cell
Magnetic moment   0.00 μB/cell
DFT formation energy   -0.59 eV per atom

Unit cell a=7.670 b=7.670 c=4.790 alpha=90.00 beta=90.00 gamma=90.00
Space group P4/mbm (No. 127)
Unique sites:
Ca  0.164  0.336  0.000 (multiplicity 4)
Bi  0.152  0.652  0.500 (multiplicity 4)
Pt  0.000  0.000  0.500 (multiplicity 2)

=====

First-principles (PBE-GGA) data for CaBiPt3 after structural relaxation, as listed in Alexandria.

N(E_F)   2.2 states/eV per cell
Magnetic moment   0.00 μB/cell
DFT formation energy   0.22 eV per atom
Energy above the most stable polymorph in this dataset   0 meV per atom

Unit cell a=5.120 b=5.120 c=5.120 alpha=90.00 beta=90.00 gamma=90.00
Space group Pm-3m (No. 221)
Unique sites:
Ca  0.000  0.000  0.000 (multiplicity 1)
Bi  0.500  0.500  0.500 (multiplicity 1)
Pt  0.000  0.500  0.500 (multiplicity 3)

=====

First-principles (PBE-GGA) data for CaBiPtRh2 after structural relaxation, as listed in Alexandria.

N(E_F)   5.7 states/eV per cell
Magnetic moment   0.00 μB/cell
DFT formation energy   0.43 eV per atom

Unit cell a=4.996 b=4.996 c=5.118 alpha=90.00 beta=90.00 gamma=90.00
Space group P4/mmm (No. 123)
Unique sites:
Ca  0.000  0.000  0.000 (multiplicity 1)
Bi  0.500  0.500  0.500 (multiplicity 1)
Pt  0.500  0.500  0.000 (multiplicity 1)
Rh  0.000  0.500  0.500 (multiplicity 2)

=====

First-principles (PBE-GGA) data for CaBiSb2Pt after structural relaxation, as listed in Alexandria.

N(E_F)   5.6 states/eV per cell
Magnetic moment   0.00 μB/cell
Formation energy (no corrections)   1092.9 meV/atom

Unit cell a=5.562 b=5.562 c=5.692 alpha=90.00 beta=90.00 gamma=90.00
Space group P4/mmm (No. 123)
Unique sites:
Ca  0.000  0.000  0.000 (multiplicity 1)
Bi  0.000  0.000  0.500 (multiplicity 1)
Sb  0.000  0.500  0.000 (multiplicity 2)
Pt  0.500  0.500  0.500 (multiplicity 1)

=====

First-principles (PBE-GGA) data for Ca2Sn3BiPt4 after structural relaxation, as listed in Alexandria.

N(E_F)   5.1 states/eV per cell
Magnetic moment   0.00 μB/cell
DFT formation energy   -0.67 eV per atom

Unit cell a=4.661 b=4.661 c=10.902 alpha=90.00 beta=90.00 gamma=90.00
Space group P-4m2 (No. 115)
Unique sites:
Ca  0.000  0.500  0.230 (multiplicity 2)
Sn  0.000  0.500  0.878 (multiplicity 2)
Sn  0.500  0.500  0.500 (multiplicity 1)
Bi  0.000  0.000  0.500 (multiplicity 1)
Pt  0.000  0.000  0.000 (multiplicity 1)
Pt  0.000  0.500  0.640 (multiplicity 2)
Pt  0.500  0.500  0.000 (multiplicity 1)